# La2Ce3YAs6

A relaxed La2Ce3YAs6 crystal (PBE, Alexandria via LeMat-Bulk).

Geometry as CIF:
```
data_La2Ce3YAs6
_space_group_name_H-M_alt 'P 1'
_space_group_IT_number 1
_space_group_name_Hall 'P 1'
_cell_length_a 7.374
_cell_length_b 7.374
_cell_length_c 7.377
_cell_angle_alpha 99.60
_cell_angle_beta 99.60
_cell_angle_gamma 120.00
loop_
_atom_site_label
_atom_site_type_symbol
_atom_site_fract_x
_atom_site_fract_y
_atom_site_fract_z
As1 As 0.411 0.085 0.255
As2 As 0.085 0.411 0.255
As3 As 0.760 0.760 0.257
As4 As 0.589 0.915 0.745
As5 As 0.915 0.589 0.745
As6 As 0.240 0.240 0.743
Ce1 Ce 0.168 0.832 0.500
Ce2 Ce 0.832 0.168 0.500
Ce3 Ce 0.500 0.500 0.500
La1 La 0.666 0.334 0.000
La2 La 0.334 0.666 0.000
Y1 Y 0.000 0.000 0.000
```

- Magnetization: 1.99 Bohr magnetons per cell
- V: 327.4 Å³/cell

# La4CeY3As8

A relaxed La4CeY3As8 crystal (PBE, Alexandria via LeMat-Bulk).

Geometry as CIF:
```
data_La4CeY3As8
_space_group_name_H-M_alt 'P 1'
_space_group_IT_number 1
_space_group_name_Hall 'P 1'
_cell_length_a 8.524
_cell_length_b 8.530
_cell_length_c 8.524
_cell_angle_alpha 119.98
_cell_angle_beta 120.00
_cell_angle_gamma 90.00
loop_
_atom_site_label
_atom_site_type_symbol
_atom_site_fract_x
_atom_site_fract_y
_atom_site_fract_z
As1 As 0.246 0.737 0.991
As2 As 0.745 0.737 0.991
As3 As 0.754 0.263 0.508
As4 As 0.254 0.262 0.508
As5 As 0.746 0.738 0.492
As6 As 0.255 0.263 0.009
As7 As 0.754 0.263 0.009
As8 As 0.246 0.737 0.492
La1 La 0.500 0.000 0.000
La2 La 0.000 0.000 0.500
La3 La 0.000 0.000 0.000
La4 La 0.500 0.000 0.500
Y1 Y 0.500 0.500 0.000
Y2 Y 0.000 0.500 0.500
Y3 Y 0.500 0.500 0.500
Ce1 Ce 0.000 0.500 0.000
```

- Magnetization: 0.53 Bohr magnetons per cell
- V: 438.4 Å³/cell

# La3CeY2As6

A relaxed La3CeY2As6 crystal (PBE, Alexandria via LeMat-Bulk).

Geometry as CIF:
```
data_La3CeY2As6
_space_group_name_H-M_alt 'P 1'
_space_group_IT_number 1
_space_group_name_Hall 'P 1'
_cell_length_a 7.382
_cell_length_b 7.382
_cell_length_c 7.398
_cell_angle_alpha 99.58
_cell_angle_beta 99.58
_cell_angle_gamma 119.99
loop_
_atom_site_label
_atom_site_type_symbol
_atom_site_fract_x
_atom_site_fract_y
_atom_site_fract_z
La1 La 0.500 0.500 0.500
La2 La 0.833 0.167 0.500
La3 La 0.167 0.833 0.500
As1 As 0.413 0.079 0.238
As2 As 0.079 0.413 0.238
As3 As 0.921 0.587 0.762
As4 As 0.255 0.255 0.763
As5 As 0.587 0.921 0.762
As6 As 0.745 0.745 0.237
Y1 Y 0.667 0.333 0.000
Y2 Y 0.333 0.667 0.000
Ce1 Ce 0.000 0.000 0.000
```

- Magnetization: 0.53 Bohr magnetons per cell
- V: 329.3 Å³/cell

# LaCe3Y2As6

A relaxed LaCe3Y2As6 crystal (PBE, Alexandria via LeMat-Bulk).

Geometry as CIF:
```
data_LaCe3Y2As6
_space_group_name_H-M_alt 'P 1'
_space_group_IT_number 1
_space_group_name_Hall 'P 1'
_cell_length_a 7.304
_cell_length_b 7.304
_cell_length_c 7.296
_cell_angle_alpha 99.62
_cell_angle_beta 99.62
_cell_angle_gamma 120.00
loop_
_atom_site_label
_atom_site_type_symbol
_atom_site_fract_x
_atom_site_fract_y
_atom_site_fract_z
As1 As 0.425 0.084 0.252
As2 As 0.084 0.425 0.252
As3 As 0.742 0.742 0.250
As4 As 0.258 0.258 0.750
As5 As 0.916 0.575 0.748
As6 As 0.575 0.916 0.748
Y1 Y 0.333 0.667 0.000
Y2 Y 0.667 0.333 0.000
Ce1 Ce 0.500 0.500 0.500
Ce2 Ce 0.835 0.165 0.500
Ce3 Ce 0.165 0.835 0.500
La1 La 0.000 0.000 0.000
```

- Magnetization: 1.98 Bohr magnetons per cell
- V: 317.7 Å³/cell

# La2CeY3As6

A relaxed La2CeY3As6 crystal (PBE, Alexandria via LeMat-Bulk).

Geometry as CIF:
```
data_La2CeY3As6
_space_group_name_H-M_alt 'P 1'
_space_group_IT_number 1
_space_group_name_Hall 'P 1'
_cell_length_a 4.231
_cell_length_b 8.447
_cell_length_c 9.437
_cell_angle_alpha 102.74
_cell_angle_beta 102.95
_cell_angle_gamma 90.00
loop_
_atom_site_label
_atom_site_type_symbol
_atom_site_fract_x
_atom_site_fract_y
_atom_site_fract_z
Y1 Y 0.500 0.500 0.000
Y2 Y 0.167 0.834 0.335
Y3 Y 0.833 0.166 0.665
As1 As 0.333 0.925 0.667
As2 As 0.003 0.750 0.006
As3 As 0.997 0.250 0.994
As4 As 0.336 0.409 0.673
As5 As 0.664 0.591 0.327
As6 As 0.667 0.075 0.333
La1 La 0.166 0.334 0.333
La2 La 0.834 0.666 0.667
Ce1 Ce 0.500 0.000 0.000
```

- Magnetization: 0.58 Bohr magnetons per cell
- V: 320.2 Å³/cell

# La4Ce3YAs8

A relaxed La4Ce3YAs8 crystal (PBE, Alexandria via LeMat-Bulk).

Geometry as CIF:
```
data_La4Ce3YAs8
_space_group_name_H-M_alt 'P 1'
_space_group_IT_number 1
_space_group_name_Hall 'P 1'
_cell_length_a 8.563
_cell_length_b 8.579
_cell_length_c 8.564
_cell_angle_alpha 119.94
_cell_angle_beta 120.00
_cell_angle_gamma 90.00
loop_
_atom_site_label
_atom_site_type_symbol
_atom_site_fract_x
_atom_site_fract_y
_atom_site_fract_z
La1 La 0.500 0.000 0.000
La2 La 0.500 0.000 0.500
La3 La 0.000 0.000 0.500
La4 La 0.000 0.000 0.000
Y1 Y 0.000 0.500 0.000
Ce1 Ce 0.500 0.500 0.500
Ce2 Ce 0.000 0.500 0.500
Ce3 Ce 0.500 0.500 0.000
As1 As 0.754 0.262 0.509
As2 As 0.253 0.262 0.007
As3 As 0.254 0.261 0.507
As4 As 0.754 0.262 0.007
As5 As 0.747 0.738 0.993
As6 As 0.246 0.738 0.993
As7 As 0.246 0.738 0.491
As8 As 0.746 0.739 0.493
```

- Magnetization: 1.91 Bohr magnetons per cell
- V: 445.3 Å³/cell

# LiCe3As4

A relaxed LiCe3As4 crystal (PBE, Alexandria via LeMat-Bulk).

Geometry as CIF:
```
data_LiCe3As4
_space_group_name_H-M_alt 'P 1'
_space_group_IT_number 1
_space_group_name_Hall 'P 1'
_cell_length_a 5.896
_cell_length_b 5.896
_cell_length_c 5.896
_cell_angle_alpha 90.00
_cell_angle_beta 90.00
_cell_angle_gamma 90.00
loop_
_atom_site_label
_atom_site_type_symbol
_atom_site_fract_x
_atom_site_fract_y
_atom_site_fract_z
Ce1 Ce 0.000 0.500 0.500
Ce2 Ce 0.500 0.500 0.000
Ce3 Ce 0.500 0.000 0.500
As1 As 0.000 0.000 0.500
As2 As 0.500 0.500 0.500
As3 As 0.000 0.500 0.000
As4 As 0.500 0.000 0.000
Li1 Li 0.000 0.000 0.000
```

- Magnetization: 1.15 Bohr magnetons per cell
- V: 204.9 Å³/cell

# LiCeAs2

A relaxed LiCeAs2 crystal (PBE, Alexandria via LeMat-Bulk).

Geometry as CIF:
```
data_LiCeAs2
_space_group_name_H-M_alt 'P 1'
_space_group_IT_number 1
_space_group_name_Hall 'P 1'
_cell_length_a 4.002
_cell_length_b 4.002
_cell_length_c 10.364
_cell_angle_alpha 90.00
_cell_angle_beta 90.00
_cell_angle_gamma 90.00
loop_
_atom_site_label
_atom_site_type_symbol
_atom_site_fract_x
_atom_site_fract_y
_atom_site_fract_z
Ce1 Ce 0.500 0.000 0.725
Ce2 Ce 0.000 0.500 0.275
As1 As 0.500 0.500 0.500
As2 As 0.000 0.500 0.836
As3 As 0.500 0.000 0.164
As4 As 0.000 0.000 0.500
Li1 Li 0.500 0.500 0.000
Li2 Li 0.000 0.000 0.000
```

- Magnetization: 1.27 Bohr magnetons per cell
- V: 166.0 Å³/cell

# LiCeAs2

A relaxed LiCeAs2 crystal (PBE, Alexandria via LeMat-Bulk).

Geometry as CIF:
```
data_LiCeAs2
_space_group_name_H-M_alt 'P 1'
_space_group_IT_number 1
_space_group_name_Hall 'P 1'
_cell_length_a 3.847
_cell_length_b 4.634
_cell_length_c 4.634
_cell_angle_alpha 90.00
_cell_angle_beta 90.00
_cell_angle_gamma 90.00
loop_
_atom_site_label
_atom_site_type_symbol
_atom_site_fract_x
_atom_site_fract_y
_atom_site_fract_z
As1 As 0.000 0.500 0.000
As2 As 0.000 0.000 0.500
Li1 Li 0.500 0.000 0.000
Ce1 Ce 0.500 0.500 0.500
```

- Magnetization: 0.00 Bohr magnetons per cell
- V: 82.6 Å³/cell

# Li2Ce3As3

A relaxed Li2Ce3As3 crystal (PBE, Alexandria via LeMat-Bulk).

Geometry as CIF:
```
data_Li2Ce3As3
_space_group_name_H-M_alt 'P 1'
_space_group_IT_number 1
_space_group_name_Hall 'P 1'
_cell_length_a 6.037
_cell_length_b 8.586
_cell_length_c 8.586
_cell_angle_alpha 120.00
_cell_angle_beta 90.00
_cell_angle_gamma 90.00
loop_
_atom_site_label
_atom_site_type_symbol
_atom_site_fract_x
_atom_site_fract_y
_atom_site_fract_z
Ce1 Ce 0.750 0.287 0.000
Ce2 Ce 0.250 0.000 0.713
Ce3 Ce 0.250 0.287 0.287
Ce4 Ce 0.750 0.000 0.287
Ce5 Ce 0.250 0.713 0.000
Ce6 Ce 0.750 0.713 0.713
Li1 Li 0.500 0.333 0.667
Li2 Li 0.500 0.667 0.333
Li3 Li 0.000 0.333 0.667
Li4 Li 0.000 0.667 0.333
As1 As 0.250 0.000 0.373
As2 As 0.250 0.627 0.627
As3 As 0.750 0.627 0.000
As4 As 0.750 0.373 0.373
As5 As 0.250 0.373 0.000
As6 As 0.750 0.000 0.627
```

- Magnetization: 6.25 Bohr magnetons per cell
- V: 385.4 Å³/cell

| no. | energy relative to the elements (eV per formula unit) |
| --- | --- |
| 1 | -17.87 |
| 2 | -24.72 |
| 3 | -18.51 |
| 4 | -17.85 |
| 5 | -18.45 |
| 6 | -24.22 |
| 7 | -8.76 |
| 8 | -4.00 |
| 9 | -3.44 |
| 10 | -7.34 |